Density functional theory data (PBE) for a geometry-optimized La2ErMg structure.

a b c (Å): 3.814 3.814 9.004
angles (deg): 90.00 90.00 90.00
Space group P4/mmm (No. 123)
Inequivalent atoms, fractional coordinates:
1 La 0.000 0.000 0.234
2 Er 0.500 0.500 0.500
3 Mg 0.500 0.500 0.000

Crystal system: tetragonal
Polymorph energy (0 for the lowest one) (eV/atom): 0.000
Calculated density (g/cm³): 5.951
Energy of formation from the pure elements (eV per atom): -0.023